Record 1
Density functional theory data (PBE) for crystalline Er7Pt2Au2 at its relaxed geometry.

Uncorrected energy = -5.2623 eV per atom
ΔE_f = -0.664 eV per atom

```
data_Er7Pt2Au2
_chemical_formula_sum 'Er7 Pt2 Au2'
_cell_length_a 6.679
_cell_length_b 6.679
_cell_length_c 7.022
_cell_angle_alpha 90.00
_cell_angle_beta 90.00
_cell_angle_gamma 105.06
_space_group_name_H-M_alt 'P 1'
_space_group_IT_number 1
_space_group_name_Hall 'P 1'
loop_
_atom_site_label
_atom_site_fract_x
_atom_site_fract_y
_atom_site_fract_z
Er1 0.000 0.000 0.000
Er2 0.000 0.500 0.258
Er3 0.000 0.500 0.742
Er4 0.500 0.000 0.258
Er5 0.500 0.000 0.742
Er6 0.500 0.500 0.253
Er7 0.500 0.500 0.747
Pt1 0.283 0.717 0.000
Pt2 0.717 0.283 0.000
Au1 0.210 0.210 0.500
Au2 0.790 0.790 0.500
```

Record 2
Density functional theory data (PBE) for crystalline Hg6Au at its relaxed geometry.

Uncorrected energy = -0.6832 eV per atom
ΔE_f = 0.044 eV per atom

```
data_Hg6Au
_chemical_formula_sum 'Hg12 Au2'
_cell_length_a 5.553
_cell_length_b 5.553
_cell_length_c 13.056
_cell_angle_alpha 90.00
_cell_angle_beta 90.00
_cell_angle_gamma 69.32
_space_group_name_H-M_alt 'P 1'
_space_group_IT_number 1
_space_group_name_Hall 'P 1'
loop_
_atom_site_label
_atom_site_fract_x
_atom_site_fract_y
_atom_site_fract_z
Hg1 0.103 0.897 0.606
Hg2 0.103 0.897 0.894
Hg3 0.212 0.369 0.750
Hg4 0.326 0.326 0.000
Hg5 0.326 0.326 0.500
Hg6 0.369 0.212 0.250
Hg7 0.631 0.788 0.750
Hg8 0.674 0.674 0.000
Hg9 0.674 0.674 0.500
Hg10 0.788 0.631 0.250
Hg11 0.897 0.103 0.106
Hg12 0.897 0.103 0.394
Au1 0.253 0.747 0.250
Au2 0.747 0.253 0.750
```

Record 3
Density functional theory data (PBE) for crystalline Tb3PuAg3Se8 at its relaxed geometry.

Uncorrected energy = -5.4783 eV per atom

```
data_Tb3PuAg3Se8
_chemical_formula_sum 'Tb3 Pu1 Ag3 Se8'
_cell_length_a 8.027
_cell_length_b 8.027
_cell_length_c 8.044
_cell_angle_alpha 117.24
_cell_angle_beta 117.24
_cell_angle_gamma 62.85
_space_group_name_H-M_alt 'P 1'
_space_group_IT_number 1
_space_group_name_Hall 'P 1'
loop_
_atom_site_label
_atom_site_fract_x
_atom_site_fract_y
_atom_site_fract_z
Tb1 0.000 0.000 0.000
Tb2 0.000 0.500 0.500
Tb3 0.500 0.000 0.500
Pu1 0.500 0.500 0.000
Ag1 0.000 0.500 0.000
Ag2 0.500 0.000 0.000
Ag3 0.500 0.500 0.500
Se1 0.250 0.250 0.251
Se2 0.251 0.747 0.754
Se3 0.253 0.253 0.750
Se4 0.253 0.749 0.246
Se5 0.747 0.251 0.754
Se6 0.747 0.747 0.250
Se7 0.749 0.253 0.246
Se8 0.750 0.750 0.749
```

Record 4
Density functional theory data (PBE) for crystalline PrY6Er8 at its relaxed geometry.

Uncorrected energy = -5.2076 eV per atom
ΔE_f = 0.130 eV per atom

```
data_PrY6Er8
_chemical_formula_sum 'Pr1 Y6 Er8'
_cell_length_a 8.598
_cell_length_b 8.598
_cell_length_c 8.598
_cell_angle_alpha 63.30
_cell_angle_beta 63.30
_cell_angle_gamma 63.30
_space_group_name_H-M_alt 'P 1'
_space_group_IT_number 1
_space_group_name_Hall 'P 1'
loop_
_atom_site_label
_atom_site_fract_x
_atom_site_fract_y
_atom_site_fract_z
Pr1 0.000 0.000 0.000
Y1 0.109 0.230 0.538
Y2 0.230 0.538 0.109
Y3 0.462 0.891 0.770
Y4 0.538 0.109 0.230
Y5 0.770 0.462 0.891
Y6 0.891 0.770 0.462
Er1 0.111 0.744 0.719
Er2 0.256 0.281 0.889
Er3 0.281 0.889 0.256
Er4 0.424 0.424 0.424
Er5 0.576 0.576 0.576
Er6 0.719 0.111 0.744
Er7 0.744 0.719 0.111
Er8 0.889 0.256 0.281
```